#A
The following is a PBE calculation of HgBSe2 after structural relaxation, from Alexandria.

Lattice parameters (Å, degrees): 6.810 6.810 6.810 90.00 90.00 90.00
Space group Fm-3m (No. 225)
Unique sites:
Hg  0.000  0.000  0.000 [4 per cell]
B  0.000  0.000  0.500 [4 per cell]
Se  0.250  0.250  0.250 [8 per cell]

Output
Fermi-level density of states = 9.1 states/eV/cell


#B
The following is a PBE calculation of HgBSe2 after structural relaxation, from Alexandria.

Lattice parameters (Å, degrees): 3.1683 3.1683 29.5248 90.00 90.00 120.00
Space group R-3m (No. 166, hexagonal axes)
Unique sites:
Hg  0.0000  0.0000  0.0000 [3 per cell]
B  0.0000  0.0000  0.5000 [3 per cell]
Se  0.0000  0.0000  0.1212 [6 per cell]

Output
Fermi-level density of states = 5.1 states/eV/cell


#C
The following is a PBE calculation of HgBSe2 after structural relaxation, from Alexandria.

Lattice parameters (Å, degrees): 6.406 6.406 8.242 90.00 90.00 90.00
Space group I-42d (No. 122)
Unique sites:
Hg  0.000  0.000  0.000 [4 per cell]
B  0.000  0.000  0.500 [4 per cell]
Se  0.142  0.750  0.625 [8 per cell]

Output
Fermi-level density of states = 10.4 states/eV/cell


Q: Which of them is the most stable? A: #C.


#A
The following is a PBE calculation of Hg2BSe after structural relaxation, from Alexandria.

Lattice parameters (Å, degrees): 6.963 6.963 6.963 90.00 90.00 90.00
Space group Fm-3m (No. 225)
Unique sites:
Hg  0.250  0.250  0.250 [8 per cell]
B  0.000  0.000  0.000 [4 per cell]
Se  0.000  0.000  0.500 [4 per cell]

Output
Fermi-level density of states = 13.3 states/eV/cell


#B
The following is a PBE calculation of Hg2BSe after structural relaxation, from Alexandria.

Lattice parameters (Å, degrees): 6.173 6.173 9.796 90.00 90.00 90.00
Space group I-42d (No. 122)
Unique sites:
Hg  0.182  0.250  0.125 [8 per cell]
B  0.000  0.000  0.000 [4 per cell]
Se  0.000  0.000  0.500 [4 per cell]

Output
Fermi-level density of states = 5.9 states/eV/cell


Q: Which of them is the most stable? A: #B.


#A
The following is a PBE calculation of Hg3BSe after structural relaxation, from Alexandria.

Lattice parameters (Å, degrees): 4.741 4.741 4.741 90.00 90.00 90.00
Space group Pm-3m (No. 221)
Unique sites:
Hg  0.000  0.000  0.500 [3 per cell]
B  0.000  0.000  0.000 [1 per cell]
Se  0.500  0.500  0.500 [1 per cell]

Output
Fermi-level density of states = 4.4 states/eV/cell


#B
The following is a PBE calculation of Hg3BSe after structural relaxation, from Alexandria.

Lattice parameters (Å, degrees): 5.584 5.584 5.584 90.00 90.00 90.00
Space group Pm-3m (No. 221)
Unique sites:
Hg  0.000  0.000  0.500 [3 per cell]
B  0.500  0.500  0.500 [1 per cell]
Se  0.000  0.000  0.000 [1 per cell]

Output
Fermi-level density of states = 4.3 states/eV/cell


Q: Which of them is the most stable? A: #A.


#A
The following is a PBE calculation of HgB2Se after structural relaxation, from Alexandria.

Lattice parameters (Å, degrees): 6.248 6.248 6.248 90.00 90.00 90.00
Space group Fm-3m (No. 225)
Unique sites:
Hg  0.000  0.000  0.000 [4 per cell]
B  0.250  0.250  0.250 [8 per cell]
Se  0.000  0.000  0.500 [4 per cell]

Output
Fermi-level density of states = 9.0 states/eV/cell


#B
The following is a PBE calculation of HgB2Se after structural relaxation, from Alexandria.

Lattice parameters (Å, degrees): 5.275 5.275 9.205 90.00 90.00 90.00
Space group I-42d (No. 122)
Unique sites:
Hg  0.000  0.000  0.000 [4 per cell]
B  0.219  0.250  0.625 [8 per cell]
Se  0.000  0.000  0.500 [4 per cell]

Output
Fermi-level density of states = 1.5 states/eV/cell


Q: Which of them is the most stable? A: #B.


#A
The following is a PBE calculation of Si3HgB after structural relaxation, from Alexandria.

Lattice parameters (Å, degrees): 5.033 5.033 5.033 90.00 90.00 90.00
Space group Pm-3m (No. 221)
Unique sites:
Si  0.000  0.000  0.500 [3 per cell]
Hg  0.000  0.000  0.000 [1 per cell]
B  0.500  0.500  0.500 [1 per cell]

Output
Fermi-level density of states = 3.6 states/eV/cell


#B
The following is a PBE calculation of Si3HgB after structural relaxation, from Alexandria.

Lattice parameters (Å, degrees): 4.272 4.272 4.272 90.00 90.00 90.00
Space group Pm-3m (No. 221)
Unique sites:
Si  0.000  0.000  0.500 [3 per cell]
Hg  0.500  0.500  0.500 [1 per cell]
B  0.000  0.000  0.000 [1 per cell]

Output
Fermi-level density of states = 2.1 states/eV/cell


Q: Which of them is the most stable? A: #B.


#A
The following is a PBE calculation of SiHg2B2 after structural relaxation, from Alexandria.

Lattice parameters (Å, degrees): 2.750 2.750 21.798 90.00 90.00 90.00
Space group I4/mmm (No. 139)
Unique sites:
Si  0.000  0.000  0.000 [2 per cell]
Hg  0.000  0.000  0.372 [4 per cell]
B  0.000  0.500  0.250 [4 per cell]

Output
Fermi-level density of states = 3.6 states/eV/cell


#B
The following is a PBE calculation of SiHg2B2 after structural relaxation, from Alexandria.

Lattice parameters (Å, degrees): 7.709 7.709 2.852 90.00 90.00 90.00
Space group P4/mbm (No. 127)
Unique sites:
Si  0.000  0.000  0.000 [2 per cell]
Hg  0.248  0.252  0.000 [4 per cell]
B  0.073  0.427  0.500 [4 per cell]

Output
Fermi-level density of states = 5.3 states/eV/cell


Q: Which of them is the most stable? A: #A.


#A
The following is a PBE calculation of SiHgB3 after structural relaxation, from Alexandria.

Lattice parameters (Å, degrees): 4.107 4.107 4.107 90.00 90.00 90.00
Space group Pm-3m (No. 221)
Unique sites:
Si  0.000  0.000  0.000 [1 per cell]
Hg  0.500  0.500  0.500 [1 per cell]
B  0.000  0.000  0.500 [3 per cell]

Output
Fermi-level density of states = 2.1 states/eV/cell


#B
The following is a PBE calculation of SiHgB3 after structural relaxation, from Alexandria.

Lattice parameters (Å, degrees): 4.365 4.365 4.365 90.00 90.00 90.00
Space group Pm-3m (No. 221)
Unique sites:
Si  0.000  0.000  0.000 [1 per cell]
Hg  0.500  0.500  0.500 [1 per cell]
B  0.000  0.500  0.500 [3 per cell]

Output
Fermi-level density of states = 3.0 states/eV/cell


Q: Which of them is the most stable? A: #A.


#A
The following is a PBE calculation of Sn2HgB after structural relaxation, from Alexandria.

Lattice parameters (Å, degrees): 7.091 7.091 7.091 90.00 90.00 90.00
Space group Fm-3m (No. 225)
Unique sites:
Sn  0.250  0.250  0.250 [8 per cell]
Hg  0.000  0.000  0.000 [4 per cell]
B  0.000  0.000  0.500 [4 per cell]

Output
Fermi-level density of states = 6.7 states/eV/cell


#B
The following is a PBE calculation of Sn2HgB after structural relaxation, from Alexandria.

Lattice parameters (Å, degrees): 6.236 6.236 10.403 90.00 90.00 90.00
Space group I-42d (No. 122)
Unique sites:
Sn  0.166  0.250  0.125 [8 per cell]
Hg  0.000  0.000  0.500 [4 per cell]
B  0.000  0.000  0.000 [4 per cell]

Output
Fermi-level density of states = 6.6 states/eV/cell


Q: Which of them is the most stable? A: #B.


#A
The following is a PBE calculation of SnHgB2 after structural relaxation, from Alexandria.

Lattice parameters (Å, degrees): 6.399 6.399 6.399 90.00 90.00 90.00
Space group Fm-3m (No. 225)
Unique sites:
Sn  0.000  0.000  0.000 [4 per cell]
Hg  0.000  0.000  0.500 [4 per cell]
B  0.250  0.250  0.250 [8 per cell]

Output
Fermi-level density of states = 5.2 states/eV/cell


#B
The following is a PBE calculation of SnHgB2 after structural relaxation, from Alexandria.

Lattice parameters (Å, degrees): 5.415 5.415 10.216 90.00 90.00 90.00
Space group I-42d (No. 122)
Unique sites:
Sn  0.000  0.000  0.000 [4 per cell]
Hg  0.000  0.000  0.500 [4 per cell]
B  0.248  0.250  0.125 [8 per cell]

Output
Fermi-level density of states = 9.2 states/eV/cell


Q: Which of them is the most stable? A: #B.


#A
The following is a PBE calculation of SrHgB2 after structural relaxation, from Alexandria.

Lattice parameters (Å, degrees): 6.551 6.551 6.551 90.00 90.00 90.00
Space group Fm-3m (No. 225)
Unique sites:
Sr  0.000  0.000  0.000 [4 per cell]
Hg  0.000  0.000  0.500 [4 per cell]
B  0.250  0.250  0.250 [8 per cell]

Output
Fermi-level density of states = 0.6 states/eV/cell


#B
The following is a PBE calculation of SrHgB2 after structural relaxation, from Alexandria.

Lattice parameters (Å, degrees): 4.458 4.458 15.585 90.00 90.00 90.00
Space group I4_1/amd (No. 141, origin choice 2)
Unique sites:
Sr  0.000  0.250  0.375 [4 per cell]
Hg  0.000  0.250  0.875 [4 per cell]
B  0.000  0.000  0.000 [8 per cell]

Output
Fermi-level density of states = 2.5 states/eV/cell


Q: Which of them is the most stable? A: #B.


#A
The following is a PBE calculation of SrHg2B after structural relaxation, from Alexandria.

Lattice parameters (Å, degrees): 5.801 5.801 13.399 90.00 90.00 90.00
Space group I-42d (No. 122)
Unique sites:
Sr  0.000  0.000  0.000 [4 per cell]
Hg  0.062  0.250  0.625 [8 per cell]
B  0.000  0.000  0.500 [4 per cell]

Output
Fermi-level density of states = 11.9 states/eV/cell


#B
The following is a PBE calculation of SrHg2B after structural relaxation, from Alexandria.

Lattice parameters (Å, degrees): 7.244 7.244 7.244 90.00 90.00 90.00
Space group Fm-3m (No. 225)
Unique sites:
Sr  0.000  0.000  0.000 [4 per cell]
Hg  0.250  0.250  0.250 [8 per cell]
B  0.000  0.000  0.500 [4 per cell]

Output
Fermi-level density of states = 13.4 states/eV/cell


Q: Which of them is the most stable? A: #A.


#A
The following is a PBE calculation of Sr2HgB after structural relaxation, from Alexandria.

Lattice parameters (Å, degrees): 7.572 7.572 7.572 90.00 90.00 90.00
Space group Fm-3m (No. 225)
Unique sites:
Sr  0.250  0.250  0.250 [8 per cell]
Hg  0.000  0.000  0.000 [4 per cell]
B  0.000  0.000  0.500 [4 per cell]

Output
Fermi-level density of states = 19.1 states/eV/cell


#B
The following is a PBE calculation of Sr2HgB after structural relaxation, from Alexandria.

Lattice parameters (Å, degrees): 8.176 8.176 7.848 90.00 90.00 90.00
Space group I-42d (No. 122)
Unique sites:
Sr  0.190  0.750  0.125 [8 per cell]
Hg  0.000  0.000  0.500 [4 per cell]
B  0.000  0.000  0.000 [4 per cell]

Output
Fermi-level density of states = 4.8 states/eV/cell


Q: Which of them is the most stable? A: #A.